[1]
A relaxed structure of Cd2PRu2. Source: the Alexandria database, functional PBE.

Computed properties:
As for the formation energy: -0.152 eV/atom. The value obtained for the calculated total energy is -5.311 eV/atom. The crystal system is tetragonal. The value obtained for the density of states at the Fermi level is 0.376 states/eV per atom.

a b c (Å): 6.0428 6.0428 4.6555
angles (deg): 90.00 90.00 90.00
Space group P4/mbm (No. 127)
Inequivalent atoms, fractional coordinates:
Cd: 0.1640 0.3360 0.0000 (multiplicity 4)
P: 0.0000 0.0000 0.5000 (multiplicity 2)
Ru: 0.1539 0.6539 0.5000 (multiplicity 4)

[2]
A relaxed structure of MnSi2Cl. Source: the Alexandria database, functional PBE.

Computed properties:
The value obtained for the calculated total energy is -4.454 eV/atom. The calculation puts the formation energy from raw total energies at 1.012 eV per atom. The value obtained for the distance to the lowest polymorph of the same formula is 1035 meV per atom. The crystal system is cubic. The value obtained for the density of states at the Fermi level is 1.949 states/eV per atom.

a b c (Å): 6.1757 6.1757 6.1757
angles (deg): 90.00 90.00 90.00
Space group Fm-3m (No. 225)
Inequivalent atoms, fractional coordinates:
Mn: 0.0000 0.0000 0.0000 (multiplicity 4)
Si: 0.2500 0.2500 0.2500 (multiplicity 8)
Cl: 0.0000 0.0000 0.5000 (multiplicity 4)